## Np2As2H (PBE-GGA)

Data for a relaxed Np2As2H crystal.

The structure in CIF format:
```
data_Np2As2H
_cell_length_a 5.7929
_cell_length_b 11.5746
_cell_length_c 5.7067
_cell_angle_alpha 90.00
_cell_angle_beta 90.00
_cell_angle_gamma 90.00
_symmetry_space_group_name_H-M 'I b a m'
_symmetry_Int_Tables_number 72
_symmetry_space_group_name_Hall '-I 2 2c'
loop_
_atom_site_label
_atom_site_fract_x
_atom_site_fract_y
_atom_site_fract_z
_atom_site_occupancy
Np1 0.2169 0.1114 0.0000 1
As1 0.2090 0.3586 0.0000 1
H1 0.0000 0.0000 0.2500 1
```

The value obtained for the calculated volume is 382.6 Å³ per cell. Its total energy is -41.51 eV/f.u. Its total magnetic moment is 6.99 μB/f.u.